P.
SiB3W: relaxed, GGA-PBE.

Summary:
DOS(E_F) (states/eV/cell): 4.31
Symmetry: No. 221

Unit cell a=3.832 b=3.832 c=3.832 alpha=90.00 beta=90.00 gamma=90.00
Fractional positions:
Si1 0.000 0.000 0.000
B1 0.000 0.500 0.000
B2 0.000 0.000 0.500
B3 0.500 0.000 0.000
W1 0.500 0.500 0.500

Q.
SiB3W: relaxed, GGA-PBE.

Summary:
DOS(E_F) (states/eV/cell): 3.03
Symmetry: No. 221

Unit cell a=4.196 b=4.196 c=4.196 alpha=90.00 beta=90.00 gamma=90.00
Fractional positions:
Si1 0.500 0.500 0.500
B1 0.000 0.500 0.000
B2 0.000 0.000 0.500
B3 0.500 0.000 0.000
W1 0.000 0.000 0.000

Which structure is the most stable? The one labeled Q.

P.
YSiB: relaxed, GGA-PBE.

Summary:
DOS(E_F) (states/eV/cell): 0.75
Symmetry: No. 74

Unit cell a=4.043 b=3.570 c=6.802 alpha=105.21 beta=107.31 gamma=90.00
Fractional positions:
Y1 0.615 0.865 0.730
Y2 0.385 0.135 0.270
Si1 0.200 0.450 0.899
Si2 0.800 0.550 0.101
B1 0.033 0.283 0.566
B2 0.967 0.717 0.434

Q.
YSiB: relaxed, GGA-PBE.

Summary:
DOS(E_F) (states/eV/cell): 2.54
Symmetry: No. 44

Unit cell a=3.292 b=3.820 c=8.106 alpha=76.39 beta=78.24 gamma=89.99
Fractional positions:
Y1 0.924 0.291 0.810
Y2 0.707 0.073 0.246
Si1 0.300 0.666 0.061
Si2 0.522 0.889 0.614
B1 0.593 0.460 0.472
B2 0.150 0.517 0.359

Which structure is the most stable? The one labeled P.

P.
YSi3B: relaxed, GGA-PBE.

Summary:
DOS(E_F) (states/eV/cell): 2.88
Symmetry: No. 221

Unit cell a=4.338 b=4.338 c=4.338 alpha=90.00 beta=90.00 gamma=90.00
Fractional positions:
Y1 0.500 0.500 0.500
Si1 0.000 0.500 0.000
Si2 0.000 0.000 0.500
Si3 0.500 0.000 0.000
B1 0.000 0.000 0.000

Q.
YSi3B: relaxed, GGA-PBE.

Summary:
DOS(E_F) (states/eV/cell): 2.65
Symmetry: No. 221

Unit cell a=5.303 b=5.303 c=5.303 alpha=90.00 beta=90.00 gamma=90.00
Fractional positions:
Y1 0.000 0.000 0.000
Si1 0.000 0.500 0.000
Si2 0.000 0.000 0.500
Si3 0.500 0.000 0.000
B1 0.500 0.500 0.500

Which structure is the most stable? The one labeled P.

P.
Zn3SiB: relaxed, GGA-PBE.

Summary:
DOS(E_F) (states/eV/cell): 2.42
Symmetry: No. 221

Unit cell a=4.225 b=4.225 c=4.225 alpha=90.00 beta=90.00 gamma=90.00
Fractional positions:
Zn1 0.000 0.500 0.000
Zn2 0.000 0.000 0.500
Zn3 0.500 0.000 0.000
B1 0.000 0.000 0.000
Si1 0.500 0.500 0.500

Q.
Zn3SiB: relaxed, GGA-PBE.

Summary:
DOS(E_F) (states/eV/cell): 2.65
Symmetry: No. 221

Unit cell a=4.680 b=4.680 c=4.680 alpha=90.00 beta=90.00 gamma=90.00
Fractional positions:
Zn1 0.000 0.500 0.000
Zn2 0.000 0.000 0.500
Zn3 0.500 0.000 0.000
B1 0.500 0.500 0.500
Si1 0.000 0.000 0.000

Which structure is the most stable? The one labeled P.

P.
ZnSiB2: relaxed, GGA-PBE.

Summary:
DOS(E_F) (states/eV/cell): 1.83
Symmetry: No. 122

Unit cell a=5.111 b=5.111 c=5.567 alpha=62.67 beta=62.67 gamma=90.00
Fractional positions:
Zn1 0.000 0.000 0.000
Zn2 0.750 0.250 0.500
B1 0.594 0.125 0.250
B2 0.156 0.625 0.250
B3 0.375 0.406 0.750
B4 0.875 0.844 0.750
Si1 0.500 0.500 0.000
Si2 0.250 0.750 0.500

Q.
ZnSiB2: relaxed, GGA-PBE.

Summary:
DOS(E_F) (states/eV/cell): 1.57
Symmetry: No. 225

Unit cell a=3.917 b=3.917 c=3.917 alpha=60.00 beta=60.00 gamma=60.00
Fractional positions:
Zn1 0.500 0.500 0.500
B1 0.250 0.250 0.250
B2 0.750 0.750 0.750
Si1 0.000 0.000 0.000

Which structure is the most stable? The one labeled P.

P.
ZnSi2B: relaxed, GGA-PBE.

Summary:
DOS(E_F) (states/eV/cell): 1.62
Symmetry: No. 225

Unit cell a=4.205 b=4.205 c=4.205 alpha=60.00 beta=60.00 gamma=60.00
Fractional positions:
Zn1 0.500 0.500 0.500
B1 0.000 0.000 0.000
Si1 0.250 0.250 0.250
Si2 0.750 0.750 0.750

Q.
ZnSi2B: relaxed, GGA-PBE.

Summary:
DOS(E_F) (states/eV/cell): 4.01
Symmetry: No. 122

Unit cell a=5.387 b=5.387 c=5.934 alpha=63.01 beta=63.01 gamma=90.00
Fractional positions:
Zn1 0.000 0.000 0.000
Zn2 0.750 0.250 0.500
B1 0.500 0.500 0.000
B2 0.250 0.750 0.500
Si1 0.550 0.125 0.250
Si2 0.200 0.625 0.250
Si3 0.375 0.450 0.750
Si4 0.875 0.800 0.750

Which structure is the most stable? The one labeled Q.

P.
ZnSiB3: relaxed, GGA-PBE.

Summary:
DOS(E_F) (states/eV/cell): 3.17
Symmetry: No. 221

Unit cell a=4.030 b=4.030 c=4.030 alpha=90.00 beta=90.00 gamma=90.00
Fractional positions:
Zn1 0.000 0.000 0.000
B1 0.000 0.500 0.000
B2 0.000 0.000 0.500
B3 0.500 0.000 0.000
Si1 0.500 0.500 0.500

Q.
ZnSiB3: relaxed, GGA-PBE.

Summary:
DOS(E_F) (states/eV/cell): 2.24
Symmetry: No. 221

Unit cell a=4.011 b=4.011 c=4.011 alpha=90.00 beta=90.00 gamma=90.00
Fractional positions:
Zn1 0.500 0.500 0.500
B1 0.000 0.500 0.000
B2 0.000 0.000 0.500
B3 0.500 0.000 0.000
Si1 0.000 0.000 0.000

Which structure is the most stable? The one labeled Q.

P.
Zn2SiB: relaxed, GGA-PBE.

Summary:
DOS(E_F) (states/eV/cell): 2.25
Symmetry: No. 225

Unit cell a=4.274 b=4.274 c=4.274 alpha=60.00 beta=60.00 gamma=60.00
Fractional positions:
Zn1 0.250 0.250 0.250
Zn2 0.750 0.750 0.750
B1 0.000 0.000 0.000
Si1 0.500 0.500 0.500

Q.
Zn2SiB: relaxed, GGA-PBE.

Summary:
DOS(E_F) (states/eV/cell): 2.27
Symmetry: No. 122

Unit cell a=3.901 b=3.901 c=7.909 alpha=75.72 beta=75.72 gamma=90.00
Fractional positions:
Zn1 0.579 0.125 0.250
Zn2 0.171 0.625 0.250
Zn3 0.375 0.421 0.750
Zn4 0.875 0.829 0.750
B1 0.500 0.500 0.000
B2 0.250 0.750 0.500
Si1 0.000 0.000 0.000
Si2 0.750 0.250 0.500

Which structure is the most stable? The one labeled Q.